No. 1
# Na2CaPt | Alexandria via LeMat-Bulk | GGA-PBEsol | relaxed
# density of states at the Fermi level	1.21	states/eV per cell
# SG	No. 225
# total moment	0.000	μB per formula unit
# formation energy	-30.8	meV per atom
data_Na2CaPt
_cell_length_a 4.980
_cell_length_b 4.980
_cell_length_c 4.980
_cell_angle_alpha 60.00
_cell_angle_beta 60.00
_cell_angle_gamma 60.00
_symmetry_space_group_name_H-M 'P 1'
_symmetry_Int_Tables_number 1
_symmetry_space_group_name_Hall 'P 1'
loop_
_atom_site_label
_atom_site_type_symbol
_atom_site_fract_x
_atom_site_fract_y
_atom_site_fract_z
_atom_site_occupancy
Na1 Na 0.250 0.250 0.250 1
Na2 Na 0.750 0.750 0.750 1
Ca1 Ca 0.000 0.000 0.000 1
Pt1 Pt 0.500 0.500 0.500 1



No. 2
# NaCa2Pt2 | Alexandria via LeMat-Bulk | GGA-PBEsol | relaxed
# density of states at the Fermi level	3.76	states/eV per cell
# SG	No. 127
# total moment	0.000	μB per formula unit
# formation energy	-574.4	meV per atom
data_NaCa2Pt2
_cell_length_a 7.726
_cell_length_b 7.726
_cell_length_c 3.806
_cell_angle_alpha 90.00
_cell_angle_beta 90.00
_cell_angle_gamma 90.00
_symmetry_space_group_name_H-M 'P 1'
_symmetry_Int_Tables_number 1
_symmetry_space_group_name_Hall 'P 1'
loop_
_atom_site_label
_atom_site_type_symbol
_atom_site_fract_x
_atom_site_fract_y
_atom_site_fract_z
_atom_site_occupancy
Na1 Na 0.000 0.000 0.000 1
Na2 Na 0.500 0.500 0.000 1
Ca1 Ca 0.164 0.336 0.500 1
Ca2 Ca 0.336 0.836 0.500 1
Ca3 Ca 0.664 0.164 0.500 1
Ca4 Ca 0.836 0.664 0.500 1
Pt1 Pt 0.127 0.627 0.000 1
Pt2 Pt 0.373 0.127 0.000 1
Pt3 Pt 0.627 0.873 0.000 1
Pt4 Pt 0.873 0.373 0.000 1



No. 3
# Rb2NaCa2 | Alexandria via LeMat-Bulk | GGA-PBEsol | relaxed
# density of states at the Fermi level	6.33	states/eV per cell
# SG	No. 139
# total moment	0.009	μB per formula unit
# formation energy	260.9	meV per atom
data_Rb2NaCa2
_cell_length_a 12.645
_cell_length_b 12.645
_cell_length_c 12.645
_cell_angle_alpha 157.20
_cell_angle_beta 157.20
_cell_angle_gamma 32.47
_symmetry_space_group_name_H-M 'P 1'
_symmetry_Int_Tables_number 1
_symmetry_space_group_name_Hall 'P 1'
loop_
_atom_site_label
_atom_site_type_symbol
_atom_site_fract_x
_atom_site_fract_y
_atom_site_fract_z
_atom_site_occupancy
Rb1 Rb 0.100 0.100 0.000 1
Rb2 Rb 0.900 0.900 0.000 1
Na1 Na 0.500 0.500 0.000 1
Ca1 Ca 0.250 0.750 0.500 1
Ca2 Ca 0.750 0.250 0.500 1



No. 4
# RbNa2CaY | Alexandria via LeMat-Bulk | GGA-PBEsol | relaxed
# density of states at the Fermi level	7.89	states/eV per cell
# SG	No. 123
# total moment	1.016	μB per formula unit
# formation energy	946.2	meV per atom
data_RbNa2CaY
_cell_length_a 6.089
_cell_length_b 6.089
_cell_length_c 6.574
_cell_angle_alpha 90.00
_cell_angle_beta 90.00
_cell_angle_gamma 90.00
_symmetry_space_group_name_H-M 'P 1'
_symmetry_Int_Tables_number 1
_symmetry_space_group_name_Hall 'P 1'
loop_
_atom_site_label
_atom_site_type_symbol
_atom_site_fract_x
_atom_site_fract_y
_atom_site_fract_z
_atom_site_occupancy
Rb1 Rb 0.000 0.000 0.000 1
Na1 Na 0.000 0.500 0.500 1
Na2 Na 0.500 0.000 0.500 1
Ca1 Ca 0.000 0.000 0.500 1
Y1 Y 0.500 0.500 0.000 1



No. 5
# NaCaRu2Se | Alexandria via LeMat-Bulk | GGA-PBEsol | relaxed
# formation energy without anion corrections	1.65	eV per atom
# density of states at the Fermi level	6.57	states/eV per cell
# SG	No. 123
# total moment	3.159	μB per formula unit
data_NaCaRu2Se
_cell_length_a 4.583
_cell_length_b 4.583
_cell_length_c 5.008
_cell_angle_alpha 90.00
_cell_angle_beta 90.00
_cell_angle_gamma 90.00
_symmetry_space_group_name_H-M 'P 1'
_symmetry_Int_Tables_number 1
_symmetry_space_group_name_Hall 'P 1'
loop_
_atom_site_label
_atom_site_type_symbol
_atom_site_fract_x
_atom_site_fract_y
_atom_site_fract_z
_atom_site_occupancy
Na1 Na 0.000 0.000 0.000 1
Ca1 Ca 0.000 0.000 0.500 1
Ru1 Ru 0.000 0.500 0.000 1
Ru2 Ru 0.500 0.000 0.000 1
Se1 Se 0.500 0.500 0.500 1



No. 6
# NaCa2Sb2 | Alexandria via LeMat-Bulk | GGA-PBEsol | relaxed
# formation energy without anion corrections	-0.79	eV per atom
# density of states at the Fermi level	1.71	states/eV per cell
# SG	No. 127
# total moment	0.000	μB per formula unit
data_NaCa2Sb2
_cell_length_a 8.990
_cell_length_b 8.990
_cell_length_c 3.656
_cell_angle_alpha 90.00
_cell_angle_beta 90.00
_cell_angle_gamma 90.00
_symmetry_space_group_name_H-M 'P 1'
_symmetry_Int_Tables_number 1
_symmetry_space_group_name_Hall 'P 1'
loop_
_atom_site_label
_atom_site_type_symbol
_atom_site_fract_x
_atom_site_fract_y
_atom_site_fract_z
_atom_site_occupancy
Na1 Na 0.000 0.000 0.000 1
Na2 Na 0.500 0.500 0.000 1
Ca1 Ca 0.135 0.365 0.500 1
Ca2 Ca 0.365 0.865 0.500 1
Ca3 Ca 0.635 0.135 0.500 1
Ca4 Ca 0.865 0.635 0.500 1
Sb1 Sb 0.165 0.665 0.000 1
Sb2 Sb 0.335 0.165 0.000 1
Sb3 Sb 0.665 0.835 0.000 1
Sb4 Sb 0.835 0.335 0.000 1



No. 7
# NaCaSb2Te | Alexandria via LeMat-Bulk | GGA-PBEsol | relaxed
# formation energy without anion corrections	0.09	eV per atom
# density of states at the Fermi level	3.91	states/eV per cell
# SG	No. 123
# total moment	0.000	μB per formula unit
# polymorph energy (0 for the lowest one)	0	meV per atom
data_NaCaSb2Te
_cell_length_a 5.701
_cell_length_b 5.701
_cell_length_c 5.746
_cell_angle_alpha 90.00
_cell_angle_beta 90.00
_cell_angle_gamma 90.00
_symmetry_space_group_name_H-M 'P 1'
_symmetry_Int_Tables_number 1
_symmetry_space_group_name_Hall 'P 1'
loop_
_atom_site_label
_atom_site_type_symbol
_atom_site_fract_x
_atom_site_fract_y
_atom_site_fract_z
_atom_site_occupancy
Na1 Na 0.000 0.000 0.000 1
Ca1 Ca 0.500 0.500 0.500 1
Sb1 Sb 0.000 0.500 0.500 1
Sb2 Sb 0.500 0.000 0.500 1
Te1 Te 0.500 0.500 0.000 1



No. 8
# NaCaSbTe2 | Alexandria via LeMat-Bulk | GGA-PBEsol | relaxed
# formation energy without anion corrections	-0.02	eV per atom
# density of states at the Fermi level	3.73	states/eV per cell
# SG	No. 123
# total moment	0.000	μB per formula unit
data_NaCaSbTe2
_cell_length_a 5.525
_cell_length_b 5.525
_cell_length_c 5.202
_cell_angle_alpha 90.00
_cell_angle_beta 90.00
_cell_angle_gamma 90.00
_symmetry_space_group_name_H-M 'P 1'
_symmetry_Int_Tables_number 1
_symmetry_space_group_name_Hall 'P 1'
loop_
_atom_site_label
_atom_site_type_symbol
_atom_site_fract_x
_atom_site_fract_y
_atom_site_fract_z
_atom_site_occupancy
Na1 Na 0.000 0.000 0.000 1
Ca1 Ca 0.500 0.500 0.500 1
Sb1 Sb 0.000 0.000 0.500 1
Te1 Te 0.000 0.500 0.000 1
Te2 Te 0.500 0.000 0.000 1



No. 9
# Na3CaSc | Alexandria via LeMat-Bulk | GGA-PBEsol | relaxed
# density of states at the Fermi level	8.68	states/eV per cell
# SG	No. 221
# total moment	1.482	μB per formula unit
# formation energy	968.8	meV per atom
data_Na3CaSc
_cell_length_a 5.829
_cell_length_b 5.829
_cell_length_c 5.829
_cell_angle_alpha 90.00
_cell_angle_beta 90.00
_cell_angle_gamma 90.00
_symmetry_space_group_name_H-M 'P 1'
_symmetry_Int_Tables_number 1
_symmetry_space_group_name_Hall 'P 1'
loop_
_atom_site_label
_atom_site_type_symbol
_atom_site_fract_x
_atom_site_fract_y
_atom_site_fract_z
_atom_site_occupancy
Na1 Na 0.000 0.000 0.500 1
Na2 Na 0.000 0.500 0.000 1
Na3 Na 0.500 0.000 0.000 1
Ca1 Ca 0.000 0.000 0.000 1
Sc1 Sc 0.500 0.500 0.500 1



No. 10
# Na2CaSe2 | Alexandria via LeMat-Bulk | GGA-PBEsol | relaxed
# formation energy without anion corrections	-1.13	eV per atom
# density of states at the Fermi level	0.00	states/eV per cell
# SG	No. 139
# total moment	0.000	μB per formula unit
data_Na2CaSe2
_cell_length_a 7.798
_cell_length_b 7.798
_cell_length_c 7.798
_cell_angle_alpha 149.88
_cell_angle_beta 149.88
_cell_angle_gamma 43.11
_symmetry_space_group_name_H-M 'P 1'
_symmetry_Int_Tables_number 1
_symmetry_space_group_name_Hall 'P 1'
loop_
_atom_site_label
_atom_site_type_symbol
_atom_site_fract_x
_atom_site_fract_y
_atom_site_fract_z
_atom_site_occupancy
Na1 Na 0.250 0.750 0.500 1
Na2 Na 0.750 0.250 0.500 1
Ca1 Ca 0.000 0.000 0.000 1
Se1 Se 0.386 0.386 0.000 1
Se2 Se 0.614 0.614 0.000 1



No. 11
# Na2CaTaSe | Alexandria via LeMat-Bulk | GGA-PBEsol | relaxed
# formation energy without anion corrections	0.34	eV per atom
# density of states at the Fermi level	4.22	states/eV per cell
# SG	No. 123
# total moment	0.694	μB per formula unit
data_Na2CaTaSe
_cell_length_a 5.332
_cell_length_b 5.332
_cell_length_c 4.926
_cell_angle_alpha 90.00
_cell_angle_beta 90.00
_cell_angle_gamma 90.00
_symmetry_space_group_name_H-M 'P 1'
_symmetry_Int_Tables_number 1
_symmetry_space_group_name_Hall 'P 1'
loop_
_atom_site_label
_atom_site_type_symbol
_atom_site_fract_x
_atom_site_fract_y
_atom_site_fract_z
_atom_site_occupancy
Na1 Na 0.000 0.500 0.000 1
Na2 Na 0.500 0.000 0.000 1
Ca1 Ca 0.000 0.000 0.500 1
Ta1 Ta 0.500 0.500 0.500 1
Se1 Se 0.500 0.500 0.000 1



No. 12
# Na10CaSn12 | Alexandria via LeMat-Bulk | GGA-PBEsol | relaxed
# SG	No. 217
# total moment	0.000	μB per formula unit
# formation energy	-269.1	meV per atom
data_Na10CaSn12
_cell_length_a 9.611
_cell_length_b 9.611
_cell_length_c 9.611
_cell_angle_alpha 109.47
_cell_angle_beta 109.47
_cell_angle_gamma 109.47
_symmetry_space_group_name_H-M 'P 1'
_symmetry_Int_Tables_number 1
_symmetry_space_group_name_Hall 'P 1'
loop_
_atom_site_label
_atom_site_type_symbol
_atom_site_fract_x
_atom_site_fract_y
_atom_site_fract_z
_atom_site_occupancy
Na1 Na 0.000 0.000 0.614 1
Na2 Na 0.000 0.614 0.000 1
Na3 Na 0.250 0.500 0.750 1
Na4 Na 0.250 0.750 0.500 1
Na5 Na 0.386 0.386 0.386 1
Na6 Na 0.500 0.250 0.750 1
Na7 Na 0.500 0.750 0.250 1
Na8 Na 0.614 0.000 0.000 1
Na9 Na 0.750 0.250 0.500 1
Na10 Na 0.750 0.500 0.250 1
Ca1 Ca 0.000 0.000 0.000 1
Sn1 Sn 0.000 0.189 0.371 1
Sn2 Sn 0.000 0.371 0.189 1
Sn3 Sn 0.183 0.811 0.811 1
Sn4 Sn 0.189 0.000 0.371 1
Sn5 Sn 0.189 0.371 0.000 1
Sn6 Sn 0.371 0.000 0.189 1
Sn7 Sn 0.371 0.189 0.000 1
Sn8 Sn 0.629 0.629 0.817 1
Sn9 Sn 0.629 0.817 0.629 1
Sn10 Sn 0.811 0.183 0.811 1
Sn11 Sn 0.811 0.811 0.183 1
Sn12 Sn 0.817 0.629 0.629 1



Number 12 is which compound? Na10CaSn12



Which formula does entry 5 have? NaCaRu2Se



Which value of total moment does entry 11 give? 0.694 μB per formula unit